1.
DFT (GGA-PBE) results for Zn7GaAg4 after structural relaxation.

Structure (CIF):
```
data_Zn7GaAg4
_cell_length_a 13.023
_cell_length_b 4.762
_cell_length_c 8.062
_cell_angle_alpha 90.00
_cell_angle_beta 124.41
_cell_angle_gamma 90.00
_space_group_name_H-M_alt 'C 1 2/m 1'
_space_group_IT_number 12
loop_
_space_group_symop_operation_xyz
'x,y,z'
'-x,-y,-z'
'-x,y,-z'
'x,-y,z'
'x+1/2,y+1/2,z'
'-x+1/2,-y+1/2,-z'
'-x+1/2,y+1/2,-z'
'x+1/2,-y+1/2,z'
loop_
_atom_site_label
_atom_site_type_symbol
_atom_site_fract_x
_atom_site_fract_y
_atom_site_fract_z
_atom_site_occupancy
Zn1 Zn 0.000 0.000 0.000 1
Zn2 Zn 0.054 0.000 0.725 1
Zn3 Zn 0.070 0.500 0.428 1
Zn4 Zn 0.239 0.500 0.243 1
Ga1 Ga 0.000 0.500 0.000 1
Ag1 Ag 0.184 0.000 0.375 1
Ag2 Ag 0.193 0.500 0.861 1
```

Results
Electronic total energy ... -44.8 eV/cell
Energy above the lowest structure with this stoichiometry ... 84 meV/atom
ΔH_f (0 K) ... 0.080 eV/atom

---

2.
DFT (GGA-PBE) results for Zn4GaAg5 after structural relaxation.

Structure (CIF):
```
data_Zn4GaAg5
_cell_length_a 3.182
_cell_length_b 3.182
_cell_length_c 16.239
_cell_angle_alpha 90.00
_cell_angle_beta 90.00
_cell_angle_gamma 90.00
_space_group_name_H-M_alt 'P 4/m m m'
_space_group_IT_number 123
_space_group_name_Hall '-P 4 2'
loop_
_atom_site_label
_atom_site_type_symbol
_atom_site_fract_x
_atom_site_fract_y
_atom_site_fract_z
_atom_site_occupancy
Zn1 Zn 0.000 0.000 0.097 1
Zn2 Zn 0.000 0.000 0.291 1
Ga1 Ga 0.000 0.000 0.500 1
Ag1 Ag 0.500 0.500 0.000 1
Ag2 Ag 0.500 0.500 0.195 1
Ag3 Ag 0.500 0.500 0.391 1
```

Results
Electronic total energy ... -22.6 eV/cell
ΔH_f (0 K) ... -0.022 eV/atom

---

Summary of DOS at the Fermi energy in states/eV per cell
5.5, 1.3
(order as listed above)